PuHfZrIr | Alexandria | PBE | optimized geometry; final energy = -10.5912 eV/atom; spin magnetization = 5.43 μB/f.u.; calculated formation energy = -16.2 kJ per mole of atoms
1.0
-2.0420 4.1576 1.3006
-2.5996 0.2427 4.0411
1.6833 2.4213 3.8014
Ir Hf Zr Pu
1 1 1 1
Direct
0.0000 0.0000 0.0000 Ir
0.7500 0.7500 0.7500 Hf
0.2500 0.2500 0.2500 Zr
0.5000 0.5000 0.5000 Pu

***

K3TaRh3Se8 | Alexandria | PBE | optimized geometry; raw formation energy = -700 meV per atom; final energy = -5.0379 eV/atom; spin magnetization = 0.02 μB/f.u.
1.0
7.6357 0.0000 0.0000
-3.8179 6.6035 -0.0238
0.0000 -4.3733 7.4814
K Ta Rh Se
3 1 3 8
Direct
0.0000 0.0000 0.0000 K
0.0000 0.5000 0.0000 K
0.5000 0.5000 0.0000 K
0.0000 0.0000 0.5000 Ta
0.5000 0.0000 0.5000 Rh
0.5000 0.5000 0.5000 Rh
0.0000 0.5000 0.5000 Rh
0.2770 0.5540 0.3312 Se
0.7230 0.4460 0.6688 Se
0.7687 0.5374 0.3208 Se
0.2313 0.4626 0.6792 Se
0.7688 0.0519 0.3210 Se
0.2312 0.9481 0.6790 Se
0.2831 0.0519 0.3210 Se
0.7169 0.9481 0.6790 Se

***

AcCdCuPd3 | Alexandria | PBE | optimized geometry; final energy = -4.4764 eV/atom; spin magnetization = 0.00 μB/f.u.; calculated formation energy = -34.7 kJ per mole of atoms
1.0
-6.6436 -2.1239 0.2695
0.9958 -2.4412 5.3092
-2.0843 6.5305 0.0845
Ac Cd Cu Pd
2 2 2 6
Direct
0.7500 0.3214 0.6428 Ac
0.2500 0.6786 0.3572 Ac
0.2500 0.3629 0.7258 Cd
0.7500 0.6371 0.2742 Cd
0.2500 0.9188 0.8376 Cu
0.7500 0.0812 0.1624 Cu
0.2500 0.1404 0.2808 Pd
0.0000 0.2569 0.0000 Pd
0.5000 0.7431 0.0000 Pd
0.5000 0.2569 0.0000 Pd
0.0000 0.7431 0.0000 Pd
0.7500 0.8596 0.7192 Pd

***

TaSiAs2Se | Alexandria | PBE | optimized geometry; raw formation energy = 562 meV per atom; final energy = -5.4495 eV/atom; spin magnetization = 0.00 μB/f.u.
1.0
-2.6626 1.0040 4.1710
0.6804 -4.7481 1.5772
4.1186 1.3552 2.3030
As Si Se Ta
2 1 1 1
Direct
0.0000 0.5000 0.0000 As
0.5000 0.0000 0.0000 As
0.5000 0.5000 0.5000 Si
0.0000 0.0000 0.5000 Se
0.0000 0.0000 0.0000 Ta

***

LaFePb2 | Alexandria | PBE | optimized geometry; final energy = -5.0871 eV/atom; spin magnetization = 2.30 μB/f.u.; calculated formation energy = 11.1 kJ per mole of atoms
1.0
-2.4793 -0.9136 6.3521
-3.2503 -5.4910 2.5720
5.5069 2.6274 -3.1783
Fe La Pb
1 1 2
Direct
0.5168 0.5168 0.0000 Fe
0.3021 0.8021 0.5000 La
0.9964 0.9964 0.0000 Pb
0.6848 0.1848 0.5000 Pb

***

RbPbF4 | Alexandria | PBE | optimized geometry; raw formation energy = -2121 meV per atom; final energy = -4.1481 eV/atom; spin magnetization = 0.87 μB/f.u.
1.0
6.1570 0.0000 0.0000
0.0000 6.1570 0.0000
0.0000 0.0000 7.5942
Rb Pb F
2 2 8
Direct
0.0000 0.0000 0.5000 Rb
0.5000 0.5000 0.0000 Rb
0.0000 0.0000 0.0000 Pb
0.5000 0.5000 0.5000 Pb
0.2676 0.0000 0.1823 F
0.7324 0.0000 0.1823 F
0.0000 0.7324 0.8177 F
0.0000 0.2676 0.8177 F
0.5000 0.2324 0.6823 F
0.7676 0.5000 0.3177 F
0.2324 0.5000 0.3177 F
0.5000 0.7676 0.6823 F

***

TlSb2Pt | Alexandria | PBE | optimized geometry; raw formation energy = 220 meV per atom; final energy = -3.9427 eV/atom; spin magnetization = 0.00 μB/f.u.
1.0
-2.0748 -2.7135 4.4330
4.2183 -2.0134 3.0775
-1.0088 5.1112 -2.0439
Pt Sb Tl
1 2 1
Direct
0.7500 0.2500 0.5000 Pt
0.0000 0.0000 0.0000 Sb
0.2500 0.7500 0.5000 Sb
0.5000 0.5000 0.0000 Tl

***

KReCl2 | Alexandria | PBE | optimized geometry; raw formation energy = 16 meV per atom; final energy = -4.2941 eV/atom; spin magnetization = 0.75 μB/f.u.
1.0
-3.4024 5.0445 1.8647
-4.9233 3.9892 -0.5896
-4.6524 -1.3581 3.4670
Re K Cl
1 1 2
Direct
0.3116 0.3116 0.0091 Re
0.5646 0.5646 0.4711 K
0.9094 0.9094 0.1721 Cl
0.7144 0.7144 0.8477 Cl

***

DyHo5Tm2Sc | Alexandria | PBE | optimized geometry; final energy = -4.5803 eV/atom; spin magnetization = 0.00 μB/f.u.; calculated formation energy = 16.5 kJ per mole of atoms
1.0
5.4854 0.0000 0.0000
-2.7427 9.8524 0.0000
0.0000 0.0000 10.2917
Dy Ho Tm Sc
2 10 4 2
Direct
0.5902 0.1805 0.9554 Dy
0.4098 0.8195 0.4554 Dy
0.3784 0.7568 0.0215 Ho
0.7239 0.4479 0.8197 Ho
0.4815 0.9631 0.7399 Ho
0.3001 0.6003 0.7056 Ho
0.9827 0.9654 0.5178 Ho
0.6216 0.2432 0.5215 Ho
0.2761 0.5521 0.3197 Ho
0.5185 0.0369 0.2399 Ho
0.6999 0.3997 0.2056 Ho
0.0173 0.0346 0.0178 Ho
0.8886 0.7772 0.8118 Tm
0.1137 0.2273 0.7377 Tm
0.1114 0.2228 0.3118 Tm
0.8863 0.7727 0.2377 Tm
0.8046 0.6092 0.5147 Sc
0.1954 0.3908 0.0147 Sc

***

Li2ErCd2Hg2 | Alexandria | PBE | optimized geometry; final energy = -1.8602 eV/atom; spin magnetization = 0.00 μB/f.u.; calculated formation energy = -30.3 kJ per mole of atoms
1.0
4.9034 0.0000 0.0000
-2.4517 4.1857 -0.4274
0.0000 -2.1247 7.4156
Li Er Cd Hg
2 1 2 2
Direct
0.1506 0.3012 0.4510 Li
0.8494 0.6988 0.5490 Li
0.0000 0.0000 0.0000 Er
0.5695 0.1390 0.7086 Cd
0.4305 0.8610 0.2914 Cd
0.7254 0.4507 0.1757 Hg
0.2746 0.5493 0.8243 Hg

***

SrTcAg | Alexandria | PBE | optimized geometry; final energy = -4.1734 eV/atom; spin magnetization = 0.00 μB/f.u.; calculated formation energy = 76.5 kJ per mole of atoms
1.0
-4.9147 0.1379 1.3549
1.8472 -4.0521 -2.4855
0.6543 -1.2347 2.4991
Ag Sr Tc
1 1 1
Direct
0.0000 0.0000 0.8336 Ag
0.6667 0.3333 0.3330 Sr
0.3333 0.6667 0.8334 Tc

***

Zr2Cu2Rh | Alexandria | PBE | optimized geometry; final energy = -6.6408 eV/atom; spin magnetization = 0.00 μB/f.u.; calculated formation energy = -10.9 kJ per mole of atoms
1.0
-1.6435 1.6435 8.1276
1.6435 -1.6435 8.1276
1.6435 1.6435 -8.1276
Zr Cu Rh
2 2 1
Direct
0.6025 0.6025 0.0000 Zr
0.3975 0.3975 0.0000 Zr
0.2500 0.7500 0.5000 Cu
0.7500 0.2500 0.5000 Cu
0.0000 0.0000 0.0000 Rh

***

TbCuP2O8 | Alexandria | PBE | optimized geometry; raw formation energy = -2083 meV per atom; final energy = -7.0172 eV/atom; spin magnetization = 2.03 μB/f.u.
1.0
-4.6176 1.7445 1.4575
0.7530 -5.0486 -0.6592
1.7588 -0.5514 6.2321
Tb Cu P O
1 1 2 8
Direct
0.0000 0.0000 0.5000 Tb
0.0000 0.0000 0.0000 Cu
0.3333 0.6667 0.7269 P
0.6667 0.3333 0.2731 P
0.1664 0.3328 0.7918 O
0.1664 0.8336 0.7918 O
0.6672 0.8336 0.7918 O
0.3328 0.1664 0.2082 O
0.6667 0.3333 0.5106 O
0.3333 0.6667 0.4894 O
0.8336 0.6672 0.2082 O
0.8336 0.1664 0.2082 O

***

Co2Ir | Alexandria | PBE | optimized geometry; final energy = -7.5195 eV/atom; spin magnetization = 4.27 μB/f.u.; calculated formation energy = 16.5 kJ per mole of atoms
1.0
2.0749 -3.5939 0.0000
2.0749 3.5939 0.0000
0.0000 0.0000 5.0821
Co Ir
4 2
Direct
0.0000 0.0000 0.0000 Co
0.0000 0.0000 0.5000 Co
0.3333 0.6667 0.2500 Co
0.6667 0.3333 0.7500 Co
0.3333 0.6667 0.7500 Ir
0.6667 0.3333 0.2500 Ir

***

GdSbPtAu | Alexandria | PBE | optimized geometry; raw formation energy = -709 meV per atom; final energy = -7.5892 eV/atom; spin magnetization = 6.81 μB/f.u.
1.0
4.9490 0.0000 0.0000
2.4745 4.2859 0.0000
2.4745 1.4286 4.0408
Sb Gd Au Pt
1 1 1 1
Direct
0.5000 0.5000 0.5000 Sb
0.0000 0.0000 0.0000 Gd
0.2500 0.2500 0.2500 Au
0.7500 0.7500 0.7500 Pt

***

DyMgZn2Au2 | Alexandria | PBE | optimized geometry; final energy = -3.1050 eV/atom; spin magnetization = 0.00 μB/f.u.; calculated formation energy = -53.6 kJ per mole of atoms
1.0
-2.5490 0.3098 -3.7175
-1.7647 -1.6497 3.8181
-1.8404 6.0577 1.7668
Dy Mg Zn Au
1 1 2 2
Direct
0.0000 0.0000 0.0000 Dy
0.0000 0.0000 0.5000 Mg
0.3333 0.6667 0.7151 Zn
0.6667 0.3333 0.2849 Zn
0.3333 0.6667 0.2662 Au
0.6667 0.3333 0.7338 Au

***

Pu2GaBi | Alexandria | PBE | optimized geometry; final energy = -9.1951 eV/atom; spin magnetization = 11.50 μB/f.u.; calculated formation energy = -29.2 kJ per mole of atoms
1.0
4.0559 0.0000 0.0000
0.0000 4.0559 0.0000
0.0000 0.0000 6.2103
Bi Ga Pu
1 1 2
Direct
0.5000 0.5000 0.5000 Bi
0.5000 0.5000 0.0000 Ga
0.0000 0.0000 0.7634 Pu
0.0000 0.0000 0.2366 Pu

***

Pr2NiAg | Alexandria | PBE | optimized geometry; final energy = -4.7003 eV/atom; spin magnetization = 0.00 μB/f.u.; calculated formation energy = -14.7 kJ per mole of atoms
1.0
4.1432 0.0000 0.0000
2.0716 3.5881 0.0000
2.0716 1.1960 7.3778
Pr Ni Ag
2 1 1
Direct
0.0700 0.0700 0.7899 Pr
0.2636 0.2636 0.2093 Pr
0.6651 0.6651 0.0047 Ni
0.5013 0.5013 0.4961 Ag

***

CePm12Al3 | Alexandria | PBE | optimized geometry; final energy = -4.7344 eV/atom; spin magnetization = 0.98 μB/f.u.; calculated formation energy = -9.5 kJ per mole of atoms
1.0
-3.4825 0.6201 -3.3746
1.1761 -4.3012 -2.0041
-13.2014 -9.1721 11.9381
Ce Pm Al
1 12 3
Direct
0.0000 0.0000 0.0000 Ce
0.5000 0.5000 0.0000 Pm
0.5000 0.5000 0.2574 Pm
0.5000 0.5000 0.5000 Pm
0.5000 0.5000 0.7426 Pm
0.5000 0.0000 0.1339 Pm
0.5000 0.0000 0.3784 Pm
0.5000 0.0000 0.6216 Pm
0.5000 0.0000 0.8661 Pm
0.0000 0.5000 0.1339 Pm
0.0000 0.5000 0.3784 Pm
0.0000 0.5000 0.6216 Pm
0.0000 0.5000 0.8661 Pm
0.0000 0.0000 0.2570 Al
0.0000 0.0000 0.5000 Al
0.0000 0.0000 0.7430 Al

***

Li2InHPd | Alexandria | PBE | optimized geometry; final energy = -3.4408 eV/atom; spin magnetization = 0.00 μB/f.u.
1.0
-2.4573 -1.5319 -3.0312
3.3734 -0.6671 -2.3976
0.3497 -3.4141 1.4419
H Li Pd In
1 2 1 1
Direct
0.0000 0.0000 0.0000 H
0.0000 0.5000 0.0000 Li
0.5000 0.0000 0.0000 Li
0.0000 0.0000 0.5000 Pd
0.5000 0.5000 0.5000 In

***

Computed N(E_F) (states/eV per cell) in order:
14.81; 4.60; 3.29; 3.27; 4.31; 4.68; 1.95; 2.40; 30.98; 2.60; 3.60; 5.09; 1.16; 6.36; 2.52; 3.61; 15.71; 2.66; 25.36; 0.34